#A
Below is a relaxed structure of KAlBAu, with properties calculated at the PBE level.

abc: 4.7566 4.7566 4.7566
angles: 60.00 60.00 60.00
Closest atoms and distances in Å follow each position.
Fractional coordinates of all 4 atoms:
Al1 0.5000 0.5000 0.5000  4 Au 2.91, 4 B 2.91
Au1 0.7500 0.7500 0.7500  4 K 2.91, 4 Al 2.91
B1 0.2500 0.2500 0.2500  4 Al 2.91, 4 K 2.91
K1 0.0000 0.0000 0.0000  4 Au 2.91, 4 B 2.91

Symmetry = No. 216
Crystal system = cubic

***

#B
Below is a relaxed structure of KAlBAu, with properties calculated at the PBE level.

abc: 4.7548 4.7548 4.7548
angles: 60.00 60.00 60.00
Closest atoms and distances in Å follow each position.
Fractional coordinates of all 4 atoms:
Al1 0.2500 0.2500 0.2500  4 K 2.91, 4 B 2.91
Au1 0.7500 0.7500 0.7500  4 K 2.91, 4 B 2.91
B1 0.5000 0.5000 0.5000  4 Au 2.91, 4 Al 2.91
K1 0.0000 0.0000 0.0000  4 Au 2.91, 4 Al 2.91

Symmetry = No. 216
Crystal system = cubic

***

Short version: #A is the most stable of them.

***

#A
Below is a relaxed structure of BaBeAlAu, with properties calculated at the PBE level.

abc: 5.0811 5.0811 5.0811
angles: 60.00 60.00 60.00
Closest atoms and distances in Å follow each position.
Fractional coordinates of all 4 atoms:
Al1 0.5000 0.5000 0.5000  4 Au 3.11, 4 Be 3.11
Au1 0.7500 0.7500 0.7500  4 Al 3.11, 4 Ba 3.11
Ba1 0.0000 0.0000 0.0000  4 Be 3.11, 4 Au 3.11
Be1 0.2500 0.2500 0.2500  4 Ba 3.11, 4 Al 3.11

Symmetry = No. 216
Crystal system = cubic

***

#B
Below is a relaxed structure of BaBeAlAu, with properties calculated at the PBE level.

abc: 5.1050 5.1050 5.1050
angles: 60.00 60.00 60.00
Closest atoms and distances in Å follow each position.
Fractional coordinates of all 4 atoms:
Al1 0.2500 0.2500 0.2500  4 Be 3.13, 4 Ba 3.13
Au1 0.7500 0.7500 0.7500  4 Be 3.13, 4 Ba 3.13
Ba1 0.0000 0.0000 0.0000  4 Al 3.13, 4 Au 3.13
Be1 0.5000 0.5000 0.5000  4 Au 3.13, 4 Al 3.13

Symmetry = No. 216
Crystal system = cubic

***

Short version: #A is the most stable of them.